Compound: ZrSc3Ag
Source: the Alexandria database
Functional: PBE
Structure: optimized geometry

Values from the calculation:
* formation enthalpy at 0 K: 0.5324 eV/atom
* total moment: 1.44 μB/cell
* E: -27.732 eV for the cell shown
* E above lowest polymorph: 0.5400 eV per atom

Lattice parameters (Å, degrees): 5.126 5.126 5.126 90.00 90.00 90.00
Positions (direct):
Sc: 0.000 0.500 0.000
Sc: 0.500 0.000 0.000
Sc: 0.000 0.000 0.500
Zr: 0.500 0.500 0.500
Ag: 0.000 0.000 0.000



Compound: ZnInF2
Source: the Alexandria database
Functional: PBE
Structure: optimized geometry

Values from the calculation:
* raw formation energy: -5.603 eV per formula unit
* total moment: 0.00 μB/cell
* E: -26.716 eV for the cell shown
* E above lowest polymorph: 0.1632 eV per atom

Lattice parameters (Å, degrees): 5.643 5.643 6.069 62.30 62.30 90.00
Positions (direct):
F: 0.875 0.759 0.750
F: 0.509 0.125 0.250
F: 0.241 0.625 0.250
F: 0.375 0.491 0.750
Zn: 0.500 0.500 0.000
Zn: 0.250 0.750 0.500
In: 0.750 0.250 0.500
In: 0.000 0.000 0.000



Compound: Sc12Cu6Sn
Source: the Alexandria database
Functional: PBE
Structure: optimized geometry

Values from the calculation:
* formation enthalpy at 0 K: -0.2364 eV/atom
* total moment: 0.00 μB/cell
* E: -109.050 eV for the cell shown

Lattice parameters (Å, degrees): 7.958 7.958 7.958 109.47 109.47 109.47
Positions (direct):
Sc: 0.293 0.483 0.191
Sc: 0.191 0.293 0.483
Sc: 0.293 0.102 0.809
Sc: 0.707 0.517 0.809
Sc: 0.809 0.293 0.102
Sc: 0.898 0.191 0.707
Sc: 0.191 0.707 0.898
Sc: 0.707 0.898 0.191
Sc: 0.517 0.809 0.707
Sc: 0.809 0.707 0.517
Sc: 0.483 0.191 0.293
Sc: 0.102 0.809 0.293
Cu: 0.130 0.630 0.500
Cu: 0.630 0.500 0.130
Cu: 0.870 0.370 0.500
Cu: 0.500 0.870 0.370
Cu: 0.500 0.130 0.630
Cu: 0.370 0.500 0.870
Sn: 0.000 0.000 0.000



Compound: SrPrBi2
Source: the Alexandria database
Functional: PBE
Structure: optimized geometry

Values from the calculation:
* formation enthalpy at 0 K: -0.7579 eV/atom
* total moment: 0.10 μB/cell
* E: -17.255 eV for the cell shown
* E above lowest polymorph: 0.0455 eV per atom

Lattice parameters (Å, degrees): 3.576 6.109 6.109 90.00 90.00 90.00
Positions (direct):
Bi: 0.000 0.500 0.000
Bi: 0.000 0.000 0.500
Pr: 0.500 0.000 0.000
Sr: 0.500 0.500 0.500



Compound: ZrTiH
Source: the Alexandria database
Functional: PBE
Structure: optimized geometry

Values from the calculation:
* total moment: 0.00 μB/cell
* E: -20.149 eV for the cell shown
* E above lowest polymorph: 0.0674 eV per atom

Lattice parameters (Å, degrees): 3.093 3.093 5.065 90.00 90.00 120.00
Positions (direct):
Ti: 0.000 0.000 0.091
H: 0.667 0.333 0.307
Zr: 0.333 0.667 0.602



Compound: Na3Re2O8
Source: the Alexandria database
Functional: PBE
Structure: optimized geometry

Values from the calculation:
* raw formation energy: -22.413 eV per formula unit
* total moment: 1.09 μB/cell
* E: -90.932 eV for the cell shown
* E above lowest polymorph: 0.0228 eV per atom

Lattice parameters (Å, degrees): 6.016 6.016 7.195 65.29 65.29 60.00
Positions (direct):
O: 0.304 0.304 0.089
O: 0.249 0.734 0.283
O: 0.734 0.249 0.283
O: 0.751 0.266 0.717
O: 0.266 0.751 0.717
O: 0.734 0.734 0.283
O: 0.266 0.266 0.717
O: 0.696 0.696 0.911
Na: 0.181 0.181 0.456
Na: 0.000 0.000 0.000
Na: 0.819 0.819 0.544
Re: 0.397 0.397 0.809
Re: 0.603 0.603 0.191



Compound: Tm4ZnCd3
Source: the Alexandria database
Functional: PBE
Structure: optimized geometry

Values from the calculation:
* formation enthalpy at 0 K: -0.2508 eV/atom
* total moment: 0.00 μB/cell
* E: -23.912 eV for the cell shown
* E above lowest polymorph: 0.0662 eV per atom

Lattice parameters (Å, degrees): 3.584 4.783 11.661 90.00 90.00 90.00
Positions (direct):
Tm: 0.000 0.000 0.155
Tm: 0.500 0.000 0.663
Tm: 0.500 0.500 0.331
Tm: 0.000 0.500 0.846
Zn: 0.500 0.500 0.074
Cd: 0.000 0.000 0.425
Cd: 0.000 0.500 0.574
Cd: 0.500 0.000 0.931



Compound: Mn2Zn9Ag
Source: the Alexandria database
Functional: PBE
Structure: optimized geometry

Values from the calculation:
* formation enthalpy at 0 K: -0.0119 eV/atom
* total moment: 6.10 μB/cell
* E: -32.799 eV for the cell shown

Lattice parameters (Å, degrees): 3.947 3.947 11.201 90.00 90.00 90.00
Positions (direct):
Zn: 0.500 0.500 0.335
Zn: 0.500 0.000 0.500
Zn: 0.000 0.500 0.176
Zn: 0.000 0.500 0.500
Zn: 0.500 0.000 0.824
Zn: 0.500 0.500 0.665
Zn: 0.500 0.500 0.000
Zn: 0.000 0.500 0.824
Zn: 0.500 0.000 0.176
Mn: 0.000 0.000 0.663
Mn: 0.000 0.000 0.337
Ag: 0.000 0.000 0.000



Compound: LiTeW2
Source: the Alexandria database
Functional: PBE
Structure: optimized geometry

Values from the calculation:
* raw formation energy: 4.243 eV per formula unit
* total moment: 0.00 μB/cell
* E: -26.719 eV for the cell shown

Lattice parameters (Å, degrees): 2.831 2.831 9.906 90.00 90.00 113.02
Positions (direct):
Te: 0.500 0.500 0.750
Li: 0.500 0.500 0.250
W: 0.000 0.000 0.007
W: 0.000 0.000 0.493



Compound: La4TbTm10
Source: the Alexandria database
Functional: PBE
Structure: optimized geometry

Values from the calculation:
* formation enthalpy at 0 K: 0.3742 eV/atom
* total moment: 0.00 μB/cell
* E: -63.442 eV for the cell shown

Lattice parameters (Å, degrees): 10.606 8.692 8.692 68.15 52.40 52.40
Positions (direct):
La: 0.068 0.596 0.268
La: 0.932 0.404 0.732
La: 0.664 0.268 0.404
La: 0.336 0.732 0.596
Tm: 0.750 0.500 0.500
Tm: 0.250 0.500 0.500
Tm: 0.226 0.322 0.904
Tm: 0.452 0.678 0.096
Tm: 0.870 0.904 0.678
Tm: 0.549 0.904 0.678
Tm: 0.548 0.322 0.904
Tm: 0.774 0.678 0.096
Tm: 0.130 0.096 0.322
Tm: 0.451 0.096 0.322
Tb: 0.000 0.000 0.000



Compound: Zr3Au
Source: the Alexandria database
Functional: PBE
Structure: optimized geometry

Values from the calculation:
* formation enthalpy at 0 K: -0.1577 eV/atom
* total moment: 0.00 μB/cell
* E: -29.553 eV for the cell shown

Lattice parameters (Å, degrees): 4.899 4.899 4.899 60.00 60.00 60.00
Positions (direct):
Zr: 0.250 0.250 0.250
Zr: 0.500 0.500 0.500
Zr: 0.750 0.750 0.750
Au: 0.000 0.000 0.000



Compound: Rb2ZnGa3Sn4
Source: the Alexandria database
Functional: PBE
Structure: optimized geometry

Values from the calculation:
* formation enthalpy at 0 K: -0.1329 eV/atom
* total moment: 0.00 μB/cell
* E: -29.631 eV for the cell shown

Lattice parameters (Å, degrees): 4.963 4.963 11.462 90.00 90.00 90.00
Positions (direct):
Ga: 0.000 0.000 0.500
Ga: 0.000 0.500 0.134
Ga: 0.500 0.000 0.866
Zn: 0.500 0.500 0.500
Rb: 0.500 0.000 0.258
Rb: 0.000 0.500 0.742
Sn: 0.000 0.500 0.376
Sn: 0.000 0.000 0.000
Sn: 0.500 0.000 0.624
Sn: 0.500 0.500 0.000



Compound: Li2AgMo
Source: the Alexandria database
Functional: PBE
Structure: optimized geometry

Values from the calculation:
* formation enthalpy at 0 K: 0.6015 eV/atom
* total moment: 2.94 μB/cell
* E: -15.104 eV for the cell shown
* E above lowest polymorph: 0.4266 eV per atom

Lattice parameters (Å, degrees): 5.019 5.019 5.019 133.24 133.24 68.27
Positions (direct):
Li: 0.000 0.000 0.000
Li: 0.500 0.500 0.000
Mo: 0.250 0.750 0.500
Ag: 0.750 0.250 0.500



Compound: MnTlI2Br
Source: the Alexandria database
Functional: PBE
Structure: optimized geometry

Values from the calculation:
* raw formation energy: -2.677 eV per formula unit
* total moment: 5.00 μB/cell
* E: -18.986 eV for the cell shown
* E above lowest polymorph: 0.0159 eV per atom

Lattice parameters (Å, degrees): 5.825 5.825 5.212 90.00 90.00 90.00
Positions (direct):
Mn: 0.000 0.000 0.000
I: 0.000 0.500 0.000
I: 0.500 0.000 0.000
Br: 0.000 0.000 0.500
Tl: 0.500 0.500 0.500



Compound: Tb4Ag
Source: the Alexandria database
Functional: PBE
Structure: optimized geometry

Values from the calculation:
* formation enthalpy at 0 K: -0.0057 eV/atom
* total moment: 0.00 μB/cell
* E: -42.801 eV for the cell shown
* E above lowest polymorph: 0.0000 eV per atom

Lattice parameters (Å, degrees): 6.804 6.804 8.261 100.18 100.18 124.81
Positions (direct):
Tb: 0.788 0.416 0.291
Tb: 0.360 0.486 0.391
Tb: 0.125 0.497 0.709
Tb: 0.096 0.969 0.609
Tb: 0.219 0.846 0.109
Tb: 0.666 0.538 0.791
Tb: 0.747 0.875 0.209
Tb: 0.736 0.110 0.891
Ag: 0.284 0.284 0.000
Ag: 0.534 0.034 0.500



Compound: CsRb2ReSe4
Source: the Alexandria database
Functional: PBE
Structure: optimized geometry

Values from the calculation:
* raw formation energy: -5.546 eV per formula unit
* total moment: 2.01 μB/cell
* E: -34.721 eV for the cell shown

Lattice parameters (Å, degrees): 7.619 7.619 7.619 110.99 108.72 108.72
Positions (direct):
Re: 0.000 0.500 0.500
Cs: 0.500 0.250 0.750
Se: 0.985 0.183 0.494
Se: 0.015 0.509 0.198
Se: 0.689 0.506 0.491
Se: 0.311 0.802 0.817
Rb: 0.000 0.000 0.000
Rb: 0.500 0.750 0.250



Compound: Ac6NiRh2
Source: the Alexandria database
Functional: PBE
Structure: optimized geometry

Values from the calculation:
* formation enthalpy at 0 K: -0.4240 eV/atom
* total moment: 0.00 μB/cell
* E: -48.951 eV for the cell shown
* E above lowest polymorph: 0.0000 eV per atom

Lattice parameters (Å, degrees): 6.965 7.491 7.491 120.00 90.00 90.00
Positions (direct):
Ac: 0.730 0.000 0.332
Ac: 0.730 0.668 0.668
Ac: 0.730 0.332 0.000
Ac: 0.270 0.332 0.332
Ac: 0.270 0.000 0.668
Ac: 0.270 0.668 0.000
Ni: 0.500 0.000 0.000
Rh: 0.500 0.333 0.667
Rh: 0.500 0.667 0.333



Compound: PrHg2Au2
Source: the Alexandria database
Functional: PBE
Structure: optimized geometry

Values from the calculation:
* formation enthalpy at 0 K: -0.3900 eV/atom
* total moment: 0.00 μB/cell
* E: -13.888 eV for the cell shown
* E above lowest polymorph: 0.0356 eV per atom

Lattice parameters (Å, degrees): 4.243 4.243 7.410 107.01 107.01 90.09
Positions (direct):
Hg: 0.251 0.749 0.500
Hg: 0.749 0.251 0.500
Au: 0.598 0.598 0.200
Au: 0.402 0.402 0.800
Pr: 0.000 0.000 0.000



Compound: TbTcN3
Source: the Alexandria database
Functional: PBE
Structure: optimized geometry

Values from the calculation:
* raw formation energy: -2.615 eV per formula unit
* total moment: 0.00 μB/cell
* E: -170.351 eV for the cell shown

Lattice parameters (Å, degrees): 5.052 6.439 9.611 90.00 90.00 90.00
Positions (direct):
N: 0.620 0.667 0.589
N: 0.120 0.833 0.411
N: 0.380 0.333 0.089
N: 0.819 0.536 0.250
N: 0.120 0.833 0.089
N: 0.620 0.667 0.911
N: 0.880 0.167 0.589
N: 0.319 0.964 0.750
N: 0.681 0.036 0.250
N: 0.880 0.167 0.911
N: 0.380 0.333 0.411
N: 0.181 0.464 0.750
Tc: 0.058 0.182 0.750
Tc: 0.558 0.318 0.250
Tc: 0.442 0.682 0.750
Tc: 0.942 0.818 0.250
Tb: 0.000 0.500 0.500
Tb: 0.500 0.000 0.000
Tb: 0.000 0.500 0.000
Tb: 0.500 0.000 0.500



Compound: Cu4SiAg
Source: the Alexandria database
Functional: PBE
Structure: optimized geometry

Values from the calculation:
* raw formation energy: 0.931 eV per formula unit
* total moment: 0.00 μB/cell
* E: -23.728 eV for the cell shown

Lattice parameters (Å, degrees): 4.870 4.870 4.870 60.00 60.00 60.00
Positions (direct):
Cu: 0.375 0.375 0.874
Cu: 0.874 0.375 0.375
Cu: 0.375 0.375 0.375
Cu: 0.375 0.874 0.375
Ag: 0.000 0.000 0.000
Si: 0.750 0.750 0.750